No. 1
CaHf2ZrNi PBEsol relaxed; DFT total energy = -30.776 eV for the cell shown; calculated volume = 130.8 Å³/f.u.; total magnetization = 0.00 μB/f.u.; DFT formation energy = 1.522 eV per atom
1.0
4.975 0.000 0.000
0.000 4.975 0.000
0.000 0.000 5.283
Ca Hf Zr Ni
1 2 1 1
Cartesian
0.000 0.000 0.000 Ca
0.000 2.488 2.641 Hf
2.488 0.000 2.641 Hf
0.000 0.000 2.641 Zr
2.488 2.488 0.000 Ni

No. 2
Ca6HfO8 PBEsol relaxed; DFT total energy = -112.545 eV for the cell shown; calculated volume = 213.3 Å³/f.u.; total magnetization = 0.00 μB/f.u.; ΔE_f (raw) = -3.15 eV/atom
1.0
0.000 4.743 4.743
4.743 0.000 4.743
4.743 4.743 0.000
Ca Hf O
6 1 8
Cartesian
2.371 2.371 0.000 Ca
2.371 0.000 2.371 Ca
4.743 2.371 2.371 Ca
0.000 2.371 2.371 Ca
2.371 4.743 2.371 Ca
2.371 2.371 4.743 Ca
0.000 0.000 0.000 Hf
4.743 4.743 2.089 O
4.743 2.089 4.743 O
7.396 4.743 4.743 O
2.371 2.371 2.371 O
7.114 7.114 7.114 O
2.089 4.743 4.743 O
4.743 7.396 4.743 O
4.743 4.743 7.396 O